# 1
A relaxed Hf2Zn2Ni3 crystal. Source: the Alexandria database, functional PBE.

E_tot, eV/atom: -6.062
V, Å³ per cell: 107.1
D(E_F), states/eV/atom: 0.442
E_form, eV/atom: -0.38

abc: 4.4014 4.3965 6.8820
angles: 90.00 108.76 119.96
Fractional coordinates of all 7 atoms:
Hf 0.7811 0.3905 0.1715
Hf 0.2189 0.6095 0.8285
Zn 0.2640 0.1320 0.3953
Zn 0.7360 0.8680 0.6047
Ni 0.0000 0.0000 0.0000
Ni 0.5153 0.2577 0.7724
Ni 0.4847 0.7423 0.2276


# 2
A relaxed Er3Tm4Sc2 crystal. Source: the Alexandria database, functional PBE.

Energy relative to the lowest polymorph listed for this composition, kJ/mol of atoms: 0.00
E_tot, eV/atom: -4.825
V, Å³ per cell: 527.9
D(E_F), states/eV/atom: 1.338
E_form, eV/atom: 0.09

abc: 6.5832 11.3824 11.3824
angles: 50.36 57.43 57.43
Fractional coordinates of all 18 atoms:
Er 0.9333 0.1084 0.1981
Er 0.5667 0.8019 0.8916
Er 0.0667 0.8916 0.8019
Er 0.4333 0.1981 0.1084
Er 0.2500 0.5107 0.4893
Er 0.7500 0.4893 0.5107
Tm 0.4792 0.8369 0.1975
Tm 0.0208 0.8025 0.1631
Tm 0.5208 0.1631 0.8025
Tm 0.9792 0.1975 0.8369
Tm 0.9657 0.1882 0.4358
Tm 0.5343 0.5642 0.8118
Tm 0.0343 0.8118 0.5642
Tm 0.4657 0.4358 0.1882
Sc 0.4352 0.1228 0.5484
Sc 0.0648 0.4516 0.8772
Sc 0.5648 0.8772 0.4516
Sc 0.9352 0.5484 0.1228